(1)
CoW5 | GGA-PBE | relaxed

Results
- ΔH_f (0 K): 0.181 eV/atom
- Energy above the most stable polymorph in this dataset: 0.029 eV/atom
- Magnetization: 1.8 μB per formula unit
- Density: 17.50 g/cm3

Cell and atoms, written as POSCAR:
```
CoW5
1.0
-0.935 -4.859 -1.481
1.798 -3.944 -2.810
3.151 -3.750 3.894
Co W
1 5
direct
0.972 0.972 0.056
0.641 0.641 0.220
0.309 0.309 0.383
0.972 0.972 0.556
0.636 0.636 0.729
0.304 0.304 0.891
```

(2)
CoW7 | GGA-PBE | relaxed

Results
- ΔH_f (0 K): 0.400 eV/atom
- Magnetization: 1.0 μB per formula unit
- Density: 17.68 g/cm3

Cell and atoms, written as POSCAR:
```
CoW7
1.0
4.471 -2.107 -2.704
3.685 -3.250 2.756
0.276 -5.515 -1.114
Co W
1 7
direct
0.000 0.000 0.000
0.500 0.000 0.000
0.000 0.000 0.500
0.500 0.000 0.500
0.000 0.500 0.000
0.500 0.500 0.000
0.000 0.500 0.500
0.500 0.500 0.500
```

(3)
CoW4 | GGA-PBE | relaxed

Results
- ΔH_f (0 K): 1.339 eV/atom
- Energy above the most stable polymorph in this dataset: 0.089 eV/atom
- Magnetization: 2.1 μB per formula unit
- Density: 13.85 g/cm3

Cell and atoms, written as POSCAR:
```
CoW4
1.0
-2.053 2.053 5.647
2.053 -2.053 5.647
2.053 2.053 -5.647
Co W
1 4
direct
0.000 0.000 0.000
0.250 0.750 0.500
0.614 0.614 0.000
0.386 0.386 0.000
0.750 0.250 0.500
```

(4)
CoW5 | GGA-PBE | relaxed

Results
- ΔH_f (0 K): 0.421 eV/atom
- Energy above the most stable polymorph in this dataset: 0.269 eV/atom
- Magnetization: 0.3 μB per formula unit
- Density: 17.45 g/cm3

Cell and atoms, written as POSCAR:
```
CoW5
1.0
2.410 -4.174 0.000
2.410 4.174 0.000
0.000 0.000 4.626
Co W
1 5
direct
0.000 0.000 0.500
0.673 0.000 0.000
0.327 0.327 0.000
0.000 0.673 0.000
0.667 0.333 0.500
0.333 0.667 0.500
```

(5)
Co3W2 | GGA-PBE | relaxed

Results
- ΔH_f (0 K): 0.528 eV/atom
- Energy above the most stable polymorph in this dataset: 0.450 eV/atom
- Magnetization: 1.7 μB per formula unit
- Density: 12.60 g/cm3

Cell and atoms, written as POSCAR:
```
Co3W2
1.0
2.006 -3.475 0.000
2.006 3.475 0.000
0.000 0.000 5.145
Co W
3 2
direct
0.000 0.000 0.000
0.667 0.333 0.650
0.333 0.667 0.350
0.667 0.333 0.182
0.333 0.667 0.818
```

(6)
Co2W3 | GGA-PBE | relaxed

Results
- ΔH_f (0 K): 0.204 eV/atom
- Energy above the most stable polymorph in this dataset: 0.000 eV/atom
- Magnetization: 0.0 μB per formula unit
- Density: 15.85 g/cm3

Cell and atoms, written as POSCAR:
```
Co2W3
1.0
0.000 4.695 6.434
2.322 0.000 6.434
2.322 4.695 0.000
Co W
4 6
direct
0.897 0.196 0.544
0.364 0.544 0.196
0.054 0.353 0.886
0.706 0.886 0.353
0.467 0.749 0.428
0.356 0.428 0.749
0.501 0.783 0.894
0.822 0.894 0.783
0.917 0.083 0.083
0.167 0.333 0.333
```

(7)
CoW5 | GGA-PBE | relaxed

Results
- ΔH_f (0 K): 0.152 eV/atom
- Energy above the most stable polymorph in this dataset: 0.000 eV/atom
- Magnetization: 1.8 μB per formula unit
- Density: 17.53 g/cm3

Cell and atoms, written as POSCAR:
```
CoW5
1.0
1.601 -6.560 0.000
1.601 6.560 0.000
0.000 0.000 4.410
Co W
1 5
direct
0.500 0.500 0.000
0.337 0.663 0.500
0.164 0.836 0.000
0.000 0.000 0.500
0.836 0.164 0.000
0.663 0.337 0.500
```

(8)
Co5W4 | GGA-PBE | relaxed

Results
- ΔH_f (0 K): 0.088 eV/atom
- Energy above the most stable polymorph in this dataset: 0.000 eV/atom
- Magnetization: 2.2 μB per formula unit
- Density: 14.69 g/cm3

Cell and atoms, written as POSCAR:
```
Co5W4
1.0
4.572 -0.169 3.876
-5.659 1.767 -0.899
-1.343 -5.821 0.518
Co W
5 4
direct
0.000 0.000 0.000
0.340 0.340 0.681
0.660 0.340 0.000
0.340 0.660 0.000
0.660 0.660 0.319
0.315 0.000 0.315
0.685 0.000 0.685
0.000 0.315 0.315
0.000 0.685 0.685
```

Question: ΔH_f (0 K) of number 3 (CoW4)?
Answer: 1.339 eV/atom